Sn2PS4: optimized geometry, GGA-PBE.

Geometry as CIF:
```
data_Sn2PS4
_cell_length_a 8.4180
_cell_length_b 7.9061
_cell_length_c 6.2154
_cell_angle_alpha 90.00
_cell_angle_beta 118.25
_cell_angle_gamma 90.00
_symmetry_space_group_name_H-M 'C 1 m 1'
_symmetry_Int_Tables_number 8
_symmetry_space_group_name_Hall 'C -2y'
loop_
_atom_site_label
_atom_site_fract_x
_atom_site_fract_y
_atom_site_fract_z
Sn1 0.0000 0.2406 0.0000
P1 0.0778 0.5000 0.5244
S1 0.1906 0.5000 0.9216
S2 0.1981 0.0000 0.9865
S3 0.2058 0.2823 0.4811
```

Computed properties:
Spin magnetization = 0.0 μB per formula unit
Crystal system = monoclinic
E_form (uncorrected) = -0.2172 eV/atom